No. 1
The following is a DFT calculation (PBE) of an optimized crystal structure of Y5Hg.

Values from the calculation:
Volume (Å³/atom): 29.80
Total energy (eV/atom): -5.486
Energy relative to the elements (eV/f.u.): -0.29
Energy above the lowest structure with this stoichiometry (meV per atom): 102

Cell and atoms, written as CIF:
```
data_Y5Hg
_space_group_name_H-M_alt 'P -6 2 m'
_space_group_IT_number 189
_space_group_name_Hall 'P -6 -2'
_cell_length_a 6.1409
_cell_length_b 6.1409
_cell_length_c 5.4744
_cell_angle_alpha 90.00
_cell_angle_beta 90.00
_cell_angle_gamma 120.00
loop_
_atom_site_label
_atom_site_fract_x
_atom_site_fract_y
_atom_site_fract_z
Y1 0.0000 0.6871 0.0000
Y2 0.3333 0.6667 0.5000
Hg1 0.0000 0.0000 0.5000
```



No. 2
The following is a DFT calculation (PBE) of an optimized crystal structure of Nd2NbSnN5.

Values from the calculation:
Formation energy (no corrections) (eV per atom): -0.796
Volume (Å³/atom): 14.00
Total energy (eV/atom): -8.045

Cell and atoms, written as CIF:
```
data_Nd2NbSnN5
_space_group_name_H-M_alt 'C m c 21'
_space_group_IT_number 36
_space_group_name_Hall 'C 2c -2'
_cell_length_a 3.355
_cell_length_b 14.097
_cell_length_c 10.659
_cell_angle_alpha 90.00
_cell_angle_beta 90.00
_cell_angle_gamma 90.00
loop_
_atom_site_label
_atom_site_fract_x
_atom_site_fract_y
_atom_site_fract_z
Nd1 0.000 0.114 0.000
Nd2 0.000 0.135 0.580
Nb1 0.000 0.227 0.304
Sn1 0.000 0.477 0.767
N1 0.000 0.060 0.362
N2 0.000 0.280 0.937
N3 0.000 0.304 0.675
N4 0.000 0.365 0.298
N5 0.000 0.497 0.078
```



No. 3
The following is a DFT calculation (PBE) of an optimized crystal structure of La2Tb6Nd3.

Values from the calculation:
Volume (Å³/atom): 35.65
Total energy (eV/atom): -4.542
Energy relative to the elements (eV/f.u.): 1.98
Energy above the lowest structure with this stoichiometry (meV per atom): 0

Cell and atoms, written as CIF:
```
data_La2Tb6Nd3
_space_group_name_H-M_alt 'C 1 2/m 1'
_space_group_IT_number 12
_space_group_name_Hall '-C 2y'
_cell_length_a 6.220
_cell_length_b 10.800
_cell_length_c 11.859
_cell_angle_alpha 90.00
_cell_angle_beta 100.12
_cell_angle_gamma 90.00
loop_
_atom_site_label
_atom_site_fract_x
_atom_site_fract_y
_atom_site_fract_z
La1 0.000 0.167 0.000
Tb1 0.249 0.167 0.749
Tb2 0.249 0.500 0.748
Nd1 0.000 0.000 0.500
Nd2 0.000 0.336 0.500
```



No. 4
The following is a DFT calculation (PBE) of an optimized crystal structure of K6Cd.

Values from the calculation:
Volume (Å³/atom): 59.90
Total energy (eV/atom): -1.045
Energy relative to the elements (eV/f.u.): 0.19
Energy above the lowest structure with this stoichiometry (meV per atom): 0

Cell and atoms, written as CIF:
```
data_K6Cd
_space_group_name_H-M_alt 'R -3 m'
_space_group_IT_number 166
_space_group_name_Hall '-R 3 2"'
_cell_length_a 6.9478
_cell_length_b 6.9478
_cell_length_c 30.0889
_cell_angle_alpha 90.00
_cell_angle_beta 90.00
_cell_angle_gamma 120.00
loop_
_atom_site_label
_atom_site_fract_x
_atom_site_fract_y
_atom_site_fract_z
K1 0.0000 0.0000 0.0729
K2 0.0000 0.0000 0.2077
K3 0.0000 0.0000 0.3690
Cd1 0.0000 0.0000 0.5000
```



No. 5
The following is a DFT calculation (PBE) of an optimized crystal structure of K3Ce2CuO6.

Values from the calculation:
Formation energy (no corrections) (eV per atom): -2.239
Volume (Å³/atom): 17.07
Total energy (eV/atom): -6.323

Cell and atoms, written as CIF:
```
data_K3Ce2CuO6
_space_group_name_H-M_alt 'C 1 2/m 1'
_space_group_IT_number 12
_space_group_name_Hall '-C 2y'
_cell_length_a 5.808
_cell_length_b 11.450
_cell_length_c 6.297
_cell_angle_alpha 90.00
_cell_angle_beta 101.90
_cell_angle_gamma 90.00
loop_
_atom_site_label
_atom_site_fract_x
_atom_site_fract_y
_atom_site_fract_z
K1 0.000 0.000 0.000
K2 0.000 0.351 0.000
Ce1 0.000 0.165 0.500
Cu1 0.000 0.500 0.500
O1 0.235 0.205 0.288
O2 0.240 0.000 0.650
```



No. 6
The following is a DFT calculation (PBE) of an optimized crystal structure of Ti2Ga2Pt3.

Values from the calculation:
Volume (Å³/atom): 17.20
Total energy (eV/atom): -6.412
Energy relative to the elements (eV/f.u.): -4.92

Cell and atoms, written as CIF:
```
data_Ti2Ga2Pt3
_space_group_name_H-M_alt 'C 1 2/m 1'
_space_group_IT_number 12
_space_group_name_Hall '-C 2y'
_cell_length_a 7.464
_cell_length_b 4.306
_cell_length_c 7.900
_cell_angle_alpha 90.00
_cell_angle_beta 108.47
_cell_angle_gamma 90.00
loop_
_atom_site_label
_atom_site_fract_x
_atom_site_fract_y
_atom_site_fract_z
Ti1 0.123 0.000 0.371
Ga1 0.119 0.500 0.857
Pt1 0.000 0.000 0.000
Pt2 0.238 0.000 0.711
```



No. 7
The following is a DFT calculation (PBE) of an optimized crystal structure of ZrPtBr.

Values from the calculation:
Formation energy (no corrections) (eV per atom): -0.143
Volume (Å³/atom): 23.36
Total energy (eV/atom): -5.563
Energy above the lowest structure with this stoichiometry (meV per atom): 594

Cell and atoms, written as CIF:
```
data_ZrPtBr
_space_group_name_H-M_alt 'F -4 3 m'
_space_group_IT_number 216
_space_group_name_Hall 'F -4 2 3'
_cell_length_a 6.545
_cell_length_b 6.545
_cell_length_c 6.545
_cell_angle_alpha 90.00
_cell_angle_beta 90.00
_cell_angle_gamma 90.00
loop_
_atom_site_label
_atom_site_fract_x
_atom_site_fract_y
_atom_site_fract_z
Zr1 0.000 0.000 0.000
Pt1 0.250 0.250 0.750
Br1 0.000 0.000 0.500
```



No. 8
The following is a DFT calculation (PBE) of an optimized crystal structure of NbMo4Se8.

Values from the calculation:
Formation energy (no corrections) (eV per atom): -0.240
Volume (Å³/atom): 21.19
Total energy (eV/atom): -6.491

Cell and atoms, written as CIF:
```
data_NbMo4Se8
_space_group_name_H-M_alt 'R -3 m'
_space_group_IT_number 166
_space_group_name_Hall '-R 3 2"'
_cell_length_a 6.6729
_cell_length_b 6.6729
_cell_length_c 21.4312
_cell_angle_alpha 90.00
_cell_angle_beta 90.00
_cell_angle_gamma 120.00
loop_
_atom_site_label
_atom_site_fract_x
_atom_site_fract_y
_atom_site_fract_z
Nb1 0.0000 0.0000 0.0000
Mo1 0.0000 0.0000 0.5000
Mo2 0.0000 0.5000 0.5000
Se1 0.0000 0.0000 0.2462
Se2 0.0005 0.5003 0.7524
```



No. 9
The following is a DFT calculation (PBE) of an optimized crystal structure of Y3MgH3.

Values from the calculation:
Volume (Å³/atom): 18.25
Total energy (eV/atom): -4.770

Cell and atoms, written as CIF:
```
data_Y3MgH3
_space_group_name_H-M_alt 'P m -3 n'
_space_group_IT_number 223
_space_group_name_Hall '-P 4n 2 3'
_cell_length_a 6.346
_cell_length_b 6.346
_cell_length_c 6.346
_cell_angle_alpha 90.00
_cell_angle_beta 90.00
_cell_angle_gamma 90.00
loop_
_atom_site_label
_atom_site_fract_x
_atom_site_fract_y
_atom_site_fract_z
Y1 0.000 0.250 0.500
Mg1 0.000 0.000 0.000
H1 0.000 0.500 0.250
```



No. 10
The following is a DFT calculation (PBE) of an optimized crystal structure of Cr2Fe.

Values from the calculation:
Volume (Å³/atom): 11.41
Total energy (eV/atom): -9.145
Energy relative to the elements (eV/f.u.): 0.27

Cell and atoms, written as CIF:
```
data_Cr2Fe
_space_group_name_H-M_alt 'C m c m'
_space_group_IT_number 63
_space_group_name_Hall '-C 2c 2'
_cell_length_a 4.025
_cell_length_b 11.792
_cell_length_c 2.885
_cell_angle_alpha 90.00
_cell_angle_beta 90.00
_cell_angle_gamma 90.00
loop_
_atom_site_label
_atom_site_fract_x
_atom_site_fract_y
_atom_site_fract_z
Cr1 0.000 0.082 0.250
Cr2 0.000 0.245 0.750
Fe1 0.000 0.416 0.250
```



Please write out number 7 again, unchanged.
The following is a DFT calculation (PBE) of an optimized crystal structure of ZrPtBr.

Values from the calculation:
Formation energy (no corrections) (eV per atom): -0.143
Volume (Å³/atom): 23.36
Total energy (eV/atom): -5.563
Energy above the lowest structure with this stoichiometry (meV per atom): 594

Cell and atoms, written as CIF:
```
data_ZrPtBr
_space_group_name_H-M_alt 'F -4 3 m'
_space_group_IT_number 216
_space_group_name_Hall 'F -4 2 3'
_cell_length_a 6.545
_cell_length_b 6.545
_cell_length_c 6.545
_cell_angle_alpha 90.00
_cell_angle_beta 90.00
_cell_angle_gamma 90.00
loop_
_atom_site_label
_atom_site_fract_x
_atom_site_fract_y
_atom_site_fract_z
Zr1 0.000 0.000 0.000
Pt1 0.250 0.250 0.750
Br1 0.000 0.000 0.500
```